[1]
A relaxed structure of SrCrIrRh2, computed with PBE.

Output
Density in Mg/m³: 7.97
E_form in eV per formula unit: 2.7

a b c (Å): 4.9205 4.6257 4.9205
angles (deg): 90.00 90.00 90.00
Fractional coordinates of all 5 atoms:
Ir  0.0000  0.0000  0.0000
Sr  0.5000  0.5000  0.5000
Rh  0.0000  0.0000  0.5000
Rh  0.5000  0.0000  0.0000
Cr  0.0000  0.5000  0.0000



[2]
A relaxed structure of SrMoW2, computed with PBE.

Output
Density in Mg/m³: 11.88
E_form in eV per formula unit: 4.4

a b c (Å): 5.7461 5.7461 5.7461
angles (deg): 148.58 128.12 61.92
Fractional coordinates of all 4 atoms:
W  0.9755  0.9755  0.0000
W  0.5245  0.5245  0.0000
Sr  0.2500  0.7500  0.5000
Mo  0.7500  0.2500  0.5000



[3]
A relaxed structure of InRe2W, computed with PBE.

Output
Density in Mg/m³: 17.00
E_form in eV per formula unit: 2.2

a b c (Å): 5.0499 5.0499 5.0499
angles (deg): 134.00 134.00 67.09
Fractional coordinates of all 4 atoms:
W  0.5000  0.5000  0.0000
Re  0.0000  0.0000  0.0000
Re  0.2500  0.7500  0.5000
In  0.7500  0.2500  0.5000